Here is a relaxed structure of SrPmCu2Ge2 from Alexandria. Energies are from PBE.

Lattice parameters (Å, degrees): 4.2572 4.2572 8.4919 90.00 90.00 120.00
Fractional coordinates of all 6 atoms:
Cu 0.3333 0.6667 0.7679
Cu 0.6667 0.3333 0.2321
Sr 0.0000 0.0000 0.5000
Ge 0.6667 0.3333 0.7693
Pm 0.0000 0.0000 0.0000
Ge 0.3333 0.6667 0.2307

density	6.3	g/cm3
DFT formation energy	-0.55	eV/atom